Entry 1:
# LaCeAl

A relaxed structure of LaCeAl (GGA-PBE, the Alexandria database).

The space group is C2/m (No. 12) and the conventional cell measures 7.7184, 4.4535 and 9.4361 Å, with angles of 90.00, 90.05 and 90.00 degrees. The inequivalent atoms are La at (0.1663, 0.0000, 0.1424), Ce at (0.9998, 0.5000, 0.3024) and Al at (0.1666, 0.0000, 0.4998).

The value obtained for the distance to the lowest polymorph of the same formula is 0.214 eV/atom. Its formation energy is 0.017 eV per atom.

=====

Entry 2:
# LaCe2Al

A relaxed structure of LaCe2Al (GGA-PBE, the Alexandria database).

The space group is P4/mmm (No. 123) and the conventional cell measures 3.5143, 3.5143 and 9.0489 Å, with angles of 90.00, 90.00 and 90.00 degrees. The inequivalent atoms are La at (0.0000, 0.0000, 0.0000), Ce at (0.5000, 0.5000, 0.2844) and Al at (0.0000, 0.0000, 0.5000).

The value obtained for the distance to the lowest polymorph of the same formula is 0.060 eV/atom. Its formation energy is -0.063 eV per atom.

=====

Entry 3:
# LaCeAl

A relaxed structure of LaCeAl (GGA-PBE, the Alexandria database).

The space group is Cmcm (No. 63) and the conventional cell measures 4.3431, 16.0432 and 4.7402 Å, with angles of 90.00, 90.00 and 90.00 degrees. The inequivalent atoms are La at (0.0000, 0.0643, 0.2500), Ce at (0.0000, 0.2464, 0.7500) and Al at (0.0000, 0.3944, 0.2500).

The value obtained for the distance to the lowest polymorph of the same formula is 0.000 eV/atom. Its formation energy is -0.196 eV per atom.

=====

Entry 4:
# La3CeAl8

A relaxed structure of La3CeAl8 (GGA-PBE, the Alexandria database).

The space group is R3m (No. 160, hexagonal axes) and the conventional cell measures 5.7257, 5.7257 and 28.0197 Å, with angles of 90.00, 90.00 and 120.00 degrees. The inequivalent atoms are La at (0.0000, 0.0000, 0.0000), La at (0.0000, 0.0000, 0.1261), La at (0.0000, 0.0000, 0.6251), Ce at (0.0000, 0.0000, 0.5006), Al at (0.0000, 0.0000, 0.3131), Al at (0.0000, 0.0000, 0.8131), Al at (0.0002, 0.5001, 0.5622) and Al at (0.0016, 0.5008, 0.0638).

The value obtained for the distance to the lowest polymorph of the same formula is 0.000 eV/atom. Its formation energy is -0.483 eV per atom.

=====

Entry 5:
# LaCe3Al8

A relaxed structure of LaCe3Al8 (GGA-PBE, the Alexandria database).

The space group is P3m1 (No. 156) and the conventional cell measures 5.6825, 5.6825 and 9.0815 Å, with angles of 90.00, 90.00 and 120.00 degrees. The inequivalent atoms are La at (0.0000, 0.0000, 0.0000), Ce at (0.0000, 0.0000, 0.3553), Ce at (0.6667, 0.3333, 0.5132), Ce at (0.6667, 0.3333, 0.8365), Al at (0.1614, 0.3229, 0.6736), Al at (0.3333, 0.6667, 0.4272), Al at (0.3333, 0.6667, 0.9235) and Al at (0.5054, 0.0108, 0.1800).

The value obtained for the distance to the lowest polymorph of the same formula is 0.005 eV/atom. Its formation energy is -0.458 eV per atom.

=====

Entry 6:
# LaCeAl

A relaxed structure of LaCeAl (GGA-PBE, the Alexandria database).

The space group is P-6m2 (No. 187) and the conventional cell measures 5.2773, 5.2773 and 3.1027 Å, with angles of 90.00, 90.00 and 120.00 degrees. The inequivalent atoms are La at (0.0000, 0.0000, 0.0000), Ce at (0.6667, 0.3333, 0.0000) and Al at (0.3333, 0.6667, 0.5000).

The value obtained for the distance to the lowest polymorph of the same formula is 0.081 eV/atom. Its formation energy is -0.115 eV per atom.

=====

Entry 7:
# La3CeAl8

A relaxed structure of La3CeAl8 (GGA-PBE, the Alexandria database).

The space group is P3m1 (No. 156) and the conventional cell measures 5.7197, 5.7197 and 9.3690 Å, with angles of 90.00, 90.00 and 120.00 degrees. The inequivalent atoms are La at (0.0000, 0.0000, 0.0000), La at (0.0000, 0.0000, 0.3630), La at (0.3333, 0.6667, 0.8569), Ce at (0.3333, 0.6667, 0.5031), Al at (0.0096, 0.5048, 0.1836), Al at (0.3252, 0.1626, 0.6774), Al at (0.6667, 0.3333, 0.4321) and Al at (0.6667, 0.3333, 0.9320).

The value obtained for the distance to the lowest polymorph of the same formula is 0.014 eV/atom. Its formation energy is -0.468 eV per atom.

=====

Entry 8:
# LaCeAl

A relaxed structure of LaCeAl (GGA-PBE, the Alexandria database).

The space group is I4mm (No. 107) and the conventional cell measures 4.0190, 4.0190 and 10.1810 Å, with angles of 90.00, 90.00 and 90.00 degrees. The inequivalent atoms are La at (0.0000, 0.0000, 0.0000), Ce at (0.0000, 0.0000, 0.6944) and Al at (0.0000, 0.0000, 0.3418).

The value obtained for the distance to the lowest polymorph of the same formula is 0.056 eV/atom. Its formation energy is -0.140 eV per atom.

=====

Entry 9:
# LaCeLuAl

A relaxed structure of LaCeLuAl (GGA-PBE, the Alexandria database).

The space group is F-43m (No. 216) and the conventional cell measures 7.6738, 7.6738 and 7.6738 Å, with angles of 90.00, 90.00 and 90.00 degrees. The inequivalent atoms are La at (0.0000, 0.0000, 0.0000), Ce at (0.0000, 0.0000, 0.5000), Lu at (0.2500, 0.2500, 0.2500) and Al at (0.2500, 0.2500, 0.7500).

Its formation energy is -0.023 eV per atom.

=====

Entry 10:
# LaCeNdAl

A relaxed structure of LaCeNdAl (GGA-PBE, the Alexandria database).

The space group is F-43m (No. 216) and the conventional cell measures 7.7664, 7.7664 and 7.7664 Å, with angles of 90.00, 90.00 and 90.00 degrees. The inequivalent atoms are La at (0.0000, 0.0000, 0.0000), Ce at (0.0000, 0.0000, 0.5000), Nd at (0.2500, 0.2500, 0.7500) and Al at (0.2500, 0.2500, 0.2500).

Its formation energy is 0.019 eV per atom.

=====

Entry 11:
# LaCeAlPb

A relaxed structure of LaCeAlPb (GGA-PBE, the Alexandria database).

The space group is F-43m (No. 216) and the conventional cell measures 7.7568, 7.7568 and 7.7568 Å, with angles of 90.00, 90.00 and 90.00 degrees. The inequivalent atoms are La at (0.0000, 0.0000, 0.0000), Ce at (0.0000, 0.0000, 0.5000), Al at (0.2500, 0.2500, 0.2500) and Pb at (0.2500, 0.2500, 0.7500).

Its formation energy is -0.312 eV per atom.

=====

Entry 12:
# LaCePmAl

A relaxed structure of LaCePmAl (GGA-PBE, the Alexandria database).

The space group is F-43m (No. 216) and the conventional cell measures 7.6895, 7.6895 and 7.6895 Å, with angles of 90.00, 90.00 and 90.00 degrees. The inequivalent atoms are La at (0.0000, 0.0000, 0.0000), Ce at (0.2500, 0.2500, 0.2500), Pm at (0.0000, 0.0000, 0.5000) and Al at (0.2500, 0.2500, 0.7500).

Its formation energy is -0.002 eV per atom.

=====

no.,magnetic moment (μB/cell)
1,2.27
2,0.94
3,0.64
4,2.42
5,1.18
6,0.00
7,0.48
8,1.66
9,4.56
10,3.49
11,5.15
12,0.00